Record 1
Entry from Alexandria via LeMat-Bulk: a geometry-optimized HfNi2HRh structure (PBE).

a b c (Å): 3.7198 3.7198 4.1716
angles (deg): 90.00 90.00 90.00
Space group P4/mmm (No. 123)
Asymmetric unit:
1 Hf 0.0000 0.0000 0.0000 [1 per cell]
2 Ni 0.0000 0.5000 0.5000 [2 per cell]
3 H 0.0000 0.0000 0.5000 [1 per cell]
4 Rh 0.5000 0.5000 0.0000 [1 per cell]

Output
**E above lowest polymorph**: 53.6 meV/atom

=====

Record 2
Entry from Alexandria via LeMat-Bulk: a geometry-optimized Y2SnTeI structure (PBE).

a b c (Å): 5.6794 5.6794 5.8302
angles (deg): 90.00 90.00 90.00
Space group P4/mmm (No. 123)
Asymmetric unit:
1 Y 0.0000 0.5000 0.0000 [2 per cell]
2 Sn 0.0000 0.0000 0.5000 [1 per cell]
3 Te 0.5000 0.5000 0.5000 [1 per cell]
4 I 0.5000 0.5000 0.0000 [1 per cell]

Output
**Total DFT energy (no corrections)**: -19.9 eV for the cell shown

=====

Record 3
Entry from Alexandria via LeMat-Bulk: a geometry-optimized CsGa2H6 structure (PBE).

a b c (Å): 7.8489 7.8489 7.8489
angles (deg): 90.00 90.00 90.00
Space group Fm-3m (No. 225)
Asymmetric unit:
1 Cs 0.0000 0.0000 0.0000 [4 per cell]
2 Ga 0.2500 0.2500 0.2500 [8 per cell]
3 H 0.0000 0.0000 0.3783 [24 per cell]

Output
**E above lowest polymorph**: 810.2 meV/atom

=====

Number 1: total moment 0.0 μB per cell. Number 2: total moment 0.0 μB per cell. Number 3: total moment 0.0 μB per cell.